1.
Compound: BaTaBeSn2
Source: the Alexandria database
Functional: GGA-PBE
Structure: optimized geometry

**Total energy**: -2.84 eV/atom
**Volume**: 158.8 Å³/cell
**ΔH_f (0 K)**: 2.26 eV/atom
**D(E_F)**: 7.85 states/eV/f.u.
**Symmetry**: No. 123

Lattice parameters (Å, degrees): 5.814 4.696 5.814 90.00 90.00 90.00
Positions (direct):
Sn  0.000  0.000  0.500
Ba  0.000  0.000  0.000
Sn  0.500  0.000  0.000
Ta  0.500  0.500  0.500
Be  0.000  0.500  0.000

***

2.
Compound: Nd8AgTe4As3
Source: the Alexandria database
Functional: GGA-PBE
Structure: optimized geometry

**Total energy**: -5.56 eV/atom
**Volume**: 482.1 Å³/cell
**D(E_F)**: 9.82 states/eV/f.u.
**Symmetry**: No. 166
**Raw formation energy**: -2068 kJ/mol of formula units

Lattice parameters (Å, degrees): 8.757 8.846 8.757 119.67 120.00 90.00
Positions (direct):
Te  0.000  0.000  0.000
Nd  0.248  0.730  0.982
Nd  0.266  0.270  0.018
Nd  0.734  0.730  0.982
Nd  0.260  0.281  0.520
Ag  0.000  0.500  0.000
Nd  0.752  0.270  0.018
As  0.000  0.500  0.500
Nd  0.740  0.719  0.480
Te  0.500  0.000  0.500
Nd  0.752  0.270  0.504
As  0.500  0.500  0.500
As  0.500  0.500  0.000
Te  0.500  0.000  0.000
Te  0.000  0.000  0.500
Nd  0.248  0.730  0.496